Computed, not measured: a crystal of CaZnTe2 relaxed with PBEsol at the SCAN level of DFT.

Cell and atoms, written as POSCAR:
```
CaZnTe2
1.0
5.294 0.000 0.000
2.647 4.585 0.000
2.647 1.528 4.323
Te Ca Zn
2 1 1
Cartesian
0.000 0.000 0.000 Te
7.941 4.585 3.242 Te
5.294 3.057 2.161 Ca
2.647 1.528 1.081 Zn
```

Calculated values
The formation energy without anion corrections is -0.287 eV per atom. As for the space-group type: No. 216.